# 1
# Ti5NbH4 GGA-PBE relaxed
data_Ti5NbH4
_space_group_name_H-M_alt 'C 1 2/m 1'
_space_group_IT_number 12
_cell_length_a 14.3923
_cell_length_b 2.8083
_cell_length_c 5.5696
_cell_angle_alpha 90.00
_cell_angle_beta 100.95
_cell_angle_gamma 90.00
loop_
_space_group_symop_operation_xyz
'x,y,z'
'-x,-y,-z'
'-x,y,-z'
'x,-y,z'
'x+1/2,y+1/2,z'
'-x+1/2,-y+1/2,-z'
'-x+1/2,y+1/2,-z'
'x+1/2,-y+1/2,z'
loop_
_atom_site_label
_atom_site_type_symbol
_atom_site_fract_x
_atom_site_fract_y
_atom_site_fract_z
Ti1 Ti 0.0000 0.0000 0.0000
Ti2 Ti 0.1709 0.5000 0.3283
Ti3 Ti 0.1740 0.5000 0.8439
Nb1 Nb 0.0000 0.0000 0.5000
H1 H 0.0289 0.5000 0.2610
H2 H 0.1889 0.0000 0.5928
# Spin magnetization, μB per formula unit: 0.00
# E, eV per atom: -6.531
# Volume, Å³ per atom: 11.05

=====

# 2
# Ti4NbH GGA-PBE relaxed
data_Ti4NbH
_space_group_name_H-M_alt 'P -1'
_space_group_IT_number 2
_cell_length_a 4.7701
_cell_length_b 5.6398
_cell_length_c 6.9999
_cell_angle_alpha 98.06
_cell_angle_beta 108.54
_cell_angle_gamma 91.56
loop_
_space_group_symop_operation_xyz
'x,y,z'
'-x,-y,-z'
loop_
_atom_site_label
_atom_site_type_symbol
_atom_site_fract_x
_atom_site_fract_y
_atom_site_fract_z
Ti1 Ti 0.0535 0.2488 0.0105
Ti2 Ti 0.2286 0.6618 0.3951
Ti3 Ti 0.3447 0.5641 0.7942
Ti4 Ti 0.4172 0.0520 0.7918
Nb1 Nb 0.1764 0.1637 0.3955
H1 H 0.2993 0.5898 0.0924
# Spin magnetization, μB per formula unit: 0.00
# E, eV per atom: -7.563
# Volume, Å³ per atom: 14.69

=====

# 3
# Ti2NbH GGA-PBE relaxed
data_Ti2NbH
_space_group_name_H-M_alt 'I -4 2 d'
_space_group_IT_number 122
_space_group_name_Hall 'I -4 2bw'
_cell_length_a 5.5751
_cell_length_b 5.5751
_cell_length_c 7.4431
_cell_angle_alpha 90.00
_cell_angle_beta 90.00
_cell_angle_gamma 90.00
loop_
_atom_site_label
_atom_site_type_symbol
_atom_site_fract_x
_atom_site_fract_y
_atom_site_fract_z
Ti1 Ti 0.0991 0.2500 0.1250
Nb1 Nb 0.0000 0.0000 0.5000
H1 H 0.0000 0.0000 0.0000
# Spin magnetization, μB per formula unit: 0.00
# E, eV per atom: -7.196
# Volume, Å³ per atom: 14.46

=====

# 4
# TiNb3H8 GGA-PBE relaxed
data_TiNb3H8
_space_group_name_H-M_alt 'P m -3 m'
_space_group_IT_number 221
_space_group_name_Hall '-P 4 2 3'
_cell_length_a 4.5203
_cell_length_b 4.5203
_cell_length_c 4.5203
_cell_angle_alpha 90.00
_cell_angle_beta 90.00
_cell_angle_gamma 90.00
loop_
_atom_site_label
_atom_site_type_symbol
_atom_site_fract_x
_atom_site_fract_y
_atom_site_fract_z
Ti1 Ti 0.0000 0.0000 0.0000
Nb1 Nb 0.0000 0.5000 0.5000
H1 H 0.2455 0.2455 0.2455
# Spin magnetization, μB per formula unit: 0.00
# E, eV per atom: -5.736
# Volume, Å³ per atom: 7.70

=====

# 5
# TiNbH GGA-PBE relaxed
data_TiNbH
_space_group_name_H-M_alt 'P 4/m m m'
_space_group_IT_number 123
_space_group_name_Hall '-P 4 2'
_cell_length_a 2.8031
_cell_length_b 2.8031
_cell_length_c 4.7000
_cell_angle_alpha 90.00
_cell_angle_beta 90.00
_cell_angle_gamma 90.00
loop_
_atom_site_label
_atom_site_type_symbol
_atom_site_fract_x
_atom_site_fract_y
_atom_site_fract_z
Ti1 Ti 0.0000 0.0000 0.0000
Nb1 Nb 0.5000 0.5000 0.5000
H1 H 0.5000 0.5000 0.0000
# Spin magnetization, μB per formula unit: 0.00
# E, eV per atom: -7.262
# Volume, Å³ per atom: 12.31

=====

# 6
# TiNbH GGA-PBE relaxed
data_TiNbH
_space_group_name_H-M_alt 'P 1 21/c 1'
_space_group_IT_number 14
_cell_length_a 5.6394
_cell_length_b 4.6671
_cell_length_c 5.8421
_cell_angle_alpha 90.00
_cell_angle_beta 101.12
_cell_angle_gamma 90.00
loop_
_space_group_symop_operation_xyz
'x,y,z'
'-x,-y,-z'
'-x,y+1/2,-z+1/2'
'x,-y+1/2,z+1/2'
loop_
_atom_site_label
_atom_site_type_symbol
_atom_site_fract_x
_atom_site_fract_y
_atom_site_fract_z
Ti1 Ti 0.1372 0.2434 0.4275
Nb1 Nb 0.3830 0.7438 0.3012
H1 H 0.1198 0.5018 0.6720
# Spin magnetization, μB per formula unit: 0.00
# E, eV per atom: -7.318
# Volume, Å³ per atom: 12.57